# 1
First-principles (PBE) data for NaAc2O after structural relaxation, as listed in Alexandria via LeMat-Bulk.

Calculated total energy in eV per formula unit: -18.585

a = 3.8635 Å, b = 3.8635 Å, c = 31.6012 Å
α = 90.00°, β = 90.00°, γ = 120.00°
Space group R-3m (No. 166, hexagonal axes)
Asymmetric unit:
Na1 0.0000 0.0000 0.0000 x3
Ac1 0.0000 0.0000 0.1196 x6
O1 0.0000 0.0000 0.5000 x3

# 2
First-principles (PBE) data for NaAc3O after structural relaxation, as listed in Alexandria via LeMat-Bulk.

Calculated total energy in eV per formula unit: -23.038

a = 5.4352 Å, b = 5.4352 Å, c = 5.4352 Å
α = 90.00°, β = 90.00°, γ = 90.00°
Space group Pm-3m (No. 221)
Asymmetric unit:
Na1 0.0000 0.0000 0.0000 x1
Ac1 0.0000 0.5000 0.5000 x3
O1 0.5000 0.5000 0.5000 x1

# 3
First-principles (PBE) data for Na5AcO4 after structural relaxation, as listed in Alexandria via LeMat-Bulk.

Calculated total energy in eV per formula unit: -47.461

a = 12.7115 Å, b = 3.7943 Å, c = 6.4742 Å
α = 90.00°, β = 101.59°, γ = 90.00°
Space group C2/m (No. 12)
Asymmetric unit:
Na1 0.0000 0.0000 0.0000 x2
Na2 0.1670 0.5000 0.0401 x4
Na3 0.2291 0.5000 0.6597 x4
Ac1 0.0000 0.0000 0.5000 x2
O1 0.0993 0.5000 0.3441 x4
O2 0.1464 0.0000 0.8262 x4

# 4
First-principles (PBE) data for NaAcO after structural relaxation, as listed in Alexandria via LeMat-Bulk.

Relative energy among the computed polymorphs in eV per atom: 0.097

a = 4.1477 Å, b = 4.1477 Å, c = 6.9330 Å
α = 90.00°, β = 90.00°, γ = 120.00°
Space group P-6m2 (No. 187)
Asymmetric unit:
Na1 0.0000 0.0000 0.0000 x1
Ac1 0.6667 0.3333 0.5000 x1
O1 0.3333 0.6667 0.5000 x1

# 5
First-principles (PBE) data for NaAc2O4 after structural relaxation, as listed in Alexandria via LeMat-Bulk.

Calculated total energy in eV per formula unit: -47.557

a = 14.6744 Å, b = 4.0493 Å, c = 10.9371 Å
α = 90.00°, β = 122.35°, γ = 90.00°
Space group C2/m (No. 12)
Asymmetric unit:
Na1 0.1417 0.0000 0.2029 x4
Ac1 0.1149 0.5000 0.4489 x4
Ac2 0.1636 0.0000 0.8132 x4
O1 0.0355 0.0000 0.2927 x4
O2 0.0851 0.5000 0.6494 x4
O3 0.2123 0.0000 0.0661 x4
O4 0.2468 0.0000 0.6290 x4

# 6
First-principles (PBE) data for Na3AcO3 after structural relaxation, as listed in Alexandria via LeMat-Bulk.

Calculated total energy in eV per formula unit: -36.760

a = 5.0241 Å, b = 5.0241 Å, c = 5.0241 Å
α = 90.00°, β = 90.00°, γ = 90.00°
Space group Pm-3m (No. 221)
Asymmetric unit:
Na1 0.0000 0.0000 0.5000 x3
Ac1 0.5000 0.5000 0.5000 x1
O1 0.0000 0.5000 0.5000 x3

# 7
First-principles (PBE) data for NaAc2OsO5 after structural relaxation, as listed in Alexandria via LeMat-Bulk.

Calculated total energy in eV per formula unit: -65.457

a = 7.2709 Å, b = 7.2709 Å, c = 5.8922 Å
α = 90.00°, β = 90.00°, γ = 90.00°
Space group P4/mbm (No. 127)
Asymmetric unit:
Na1 0.0000 0.0000 0.0000 x2
Ac1 0.1814 0.3186 0.5000 x4
Os1 0.0000 0.5000 0.0000 x2
O1 0.0000 0.0000 0.5000 x2
O2 0.1299 0.6299 0.2424 x8

# 8
First-principles (PBE) data for NaAcOsO6 after structural relaxation, as listed in Alexandria via LeMat-Bulk.

Calculated total energy in eV per formula unit: -62.336

a = 5.5821 Å, b = 5.5821 Å, c = 5.1323 Å
α = 90.00°, β = 90.00°, γ = 120.00°
Space group P312 (No. 149)
Asymmetric unit:
Na1 0.0000 0.0000 0.0000 x1
Ac1 0.6667 0.3333 0.5000 x1
Os1 0.3333 0.6667 0.0000 x1
O1 0.0571 0.3944 0.2106 x6

# 9
First-principles (PBE) data for NaAcOsO4 after structural relaxation, as listed in Alexandria via LeMat-Bulk.

Calculated total energy in eV per formula unit: -48.967

a = 6.6886 Å, b = 7.9486 Å, c = 8.9766 Å
α = 90.00°, β = 90.00°, γ = 90.00°
Space group Imma (No. 74)
Asymmetric unit:
Na1 0.0000 0.2500 0.0912 x4
Ac1 0.0000 0.0000 0.5000 x4
Os1 0.2500 0.2500 0.7500 x4
O1 0.0000 0.0907 0.7658 x8
O2 0.2182 0.2500 0.5268 x8

# 10
First-principles (PBE) data for NaAc2OsO6 after structural relaxation, as listed in Alexandria via LeMat-Bulk.

Calculated total energy in eV per formula unit: -74.258

a = 5.7885 Å, b = 6.0935 Å, c = 10.0574 Å
α = 90.00°, β = 124.83°, γ = 90.00°
Space group P2_1/c (No. 14)
Asymmetric unit:
Na1 0.0000 0.0000 0.0000 x2
Ac1 0.2348 0.0609 0.7483 x4
Os1 0.5000 0.0000 0.5000 x2
O1 0.1733 0.1786 0.4555 x4
O2 0.2712 0.7253 0.4446 x4
O3 0.3650 0.0358 0.2693 x4

# 11
First-principles (PBE) data for Na2AcOs3O12 after structural relaxation, as listed in Alexandria via LeMat-Bulk.

Calculated total energy in eV per formula unit: -126.023

a = 7.3554 Å, b = 7.3554 Å, c = 15.9123 Å
α = 90.00°, β = 90.00°, γ = 120.00°
Space group R-3m (No. 166, hexagonal axes)
Asymmetric unit:
Na1 0.0000 0.0000 0.1149 x6
Ac1 0.0000 0.0000 0.5000 x3
Os1 0.0000 0.5000 0.0000 x9
O1 0.0747 0.5374 0.3013 x18
O2 0.0776 0.5388 0.8912 x18

# 12
First-principles (PBE) data for NaAcOs2O8 after structural relaxation, as listed in Alexandria via LeMat-Bulk.

Calculated total energy in eV per formula unit: -85.388

a = 6.1194 Å, b = 6.1194 Å, c = 7.2296 Å
α = 90.00°, β = 90.00°, γ = 120.00°
Space group P-3m1 (No. 164)
Asymmetric unit:
Na1 0.0000 0.0000 0.0000 x1
Ac1 0.0000 0.0000 0.5000 x1
Os1 0.3333 0.6667 0.8213 x2
O1 0.1719 0.3439 0.7318 x6
O2 0.3333 0.6667 0.0645 x2

# 13
First-principles (PBE) data for Na2AcP2O7 after structural relaxation, as listed in Alexandria via LeMat-Bulk.

Calculated total energy in eV per formula unit: -80.197

a = 5.6521 Å, b = 5.6521 Å, c = 21.3672 Å
α = 90.00°, β = 90.00°, γ = 120.00°
Space group R32 (No. 155, hexagonal axes)
Asymmetric unit:
Na1 0.0000 0.0000 0.2131 x6
Ac1 0.0000 0.0000 0.0000 x3
P1 0.0000 0.0000 0.4245 x6
O1 0.0000 0.0000 0.5000 x3
O2 0.0197 0.2713 0.5952 x18

# 14
First-principles (PBE) data for Na3Ac3PO8 after structural relaxation, as listed in Alexandria via LeMat-Bulk.

Calculated total energy in eV per formula unit: -95.331

a = 7.1187 Å, b = 7.1187 Å, c = 17.0320 Å
α = 90.00°, β = 90.00°, γ = 120.00°
Space group R-3m (No. 166, hexagonal axes)
Asymmetric unit:
Na1 0.0000 0.5000 0.0000 x9
Ac1 0.0000 0.5000 0.5000 x9
P1 0.0000 0.0000 0.5000 x3
O1 0.0000 0.0000 0.2478 x6
O2 0.0906 0.5453 0.2256 x18

# 15
First-principles (PBE) data for Na2AcPaO6 after structural relaxation, as listed in Alexandria via LeMat-Bulk.

Calculated total energy in eV per formula unit: -70.603

a = 6.0375 Å, b = 6.1906 Å, c = 10.4982 Å
α = 90.00°, β = 124.67°, γ = 90.00°
Space group P2_1/c (No. 14)
Asymmetric unit:
Na1 0.2431 0.0349 0.2414 x4
Ac1 0.0000 0.0000 0.5000 x2
Pa1 0.5000 0.0000 0.0000 x2
O1 0.1500 0.1682 0.9492 x4
O2 0.2697 0.7100 0.9308 x4
O3 0.3850 0.0700 0.7702 x4

# 16
First-principles (PBE) data for Na3Ac3PaO8 after structural relaxation, as listed in Alexandria via LeMat-Bulk.

Calculated total energy in eV per formula unit: -106.186

a = 7.5948 Å, b = 7.5948 Å, c = 17.0040 Å
α = 90.00°, β = 90.00°, γ = 120.00°
Space group R-3m (No. 166, hexagonal axes)
Asymmetric unit:
Na1 0.0000 0.5000 0.0000 x9
Ac1 0.0000 0.5000 0.5000 x9
Pa1 0.0000 0.0000 0.5000 x3
O1 0.0000 0.0000 0.2376 x6
O2 0.0362 0.5181 0.2328 x18

# 17
First-principles (PBE) data for NaAc2PbO6 after structural relaxation, as listed in Alexandria via LeMat-Bulk.

Calculated total energy in eV per formula unit: -64.317

a = 5.9739 Å, b = 6.3394 Å, c = 10.2611 Å
α = 90.00°, β = 123.92°, γ = 90.00°
Space group P2_1/c (No. 14)
Asymmetric unit:
Na1 0.0000 0.0000 0.0000 x2
Ac1 0.2254 0.0655 0.7448 x4
Pb1 0.5000 0.0000 0.5000 x2
O1 0.1438 0.1748 0.4485 x4
O2 0.2496 0.7074 0.4250 x4
O3 0.3863 0.0662 0.2603 x4

# 18
First-principles (PBE) data for Na2Ac2PbO6 after structural relaxation, as listed in Alexandria via LeMat-Bulk.

Calculated total energy in eV per formula unit: -67.167

a = 6.3993 Å, b = 11.1779 Å, c = 5.9492 Å
α = 90.00°, β = 102.49°, γ = 90.00°
Space group C2/m (No. 12)
Asymmetric unit:
Na1 0.0000 0.1333 0.0000 x4
Ac1 0.0000 0.3365 0.5000 x4
Pb1 0.0000 0.0000 0.5000 x2
O1 0.1880 0.1599 0.6966 x8
O2 0.2323 0.0000 0.2830 x4

# 19
First-principles (PBE) data for Na2AcPbO4 after structural relaxation, as listed in Alexandria via LeMat-Bulk.

Calculated total energy in eV per formula unit: -44.810

a = 6.0997 Å, b = 3.7315 Å, c = 6.2035 Å
α = 90.00°, β = 109.25°, γ = 90.00°
Space group P2/m (No. 10)
Asymmetric unit:
Na1 0.0000 0.0000 0.0000 x1
Na2 0.0000 0.5000 0.5000 x1
Ac1 0.5000 0.0000 0.5000 x1
Pb1 0.5000 0.5000 0.0000 x1
O1 0.2718 0.5000 0.2604 x2
O2 0.2753 0.0000 0.7780 x2

# 20
First-principles (PBE) data for Na3Ac2PbO6 after structural relaxation, as listed in Alexandria via LeMat-Bulk.

Calculated total energy in eV per formula unit: -70.197

a = 6.3979 Å, b = 11.1876 Å, c = 6.0899 Å
α = 90.00°, β = 109.40°, γ = 90.00°
Space group C2/m (No. 12)
Asymmetric unit:
Na1 0.0000 0.0000 0.0000 x2
Na2 0.0000 0.3553 0.0000 x4
Ac1 0.0000 0.1673 0.5000 x4
Pb1 0.0000 0.5000 0.5000 x2
O1 0.2329 0.3391 0.7259 x8
O2 0.2430 0.0000 0.7279 x4

| no. | magnetization (μB per formula unit) |
| --- | --- |
| 1 | 0.00 |
| 2 | 0.00 |
| 3 | 0.00 |
| 4 | 0.00 |
| 5 | 1.06 |
| 6 | 0.00 |
| 7 | 3.00 |
| 8 | 0.00 |
| 9 | 1.62 |
| 10 | 3.00 |
| 11 | 0.00 |
| 12 | 4.01 |
| 13 | 0.00 |
| 14 | 0.00 |
| 15 | 2.03 |
| 16 | 0.67 |
| 17 | 1.09 |
| 18 | 0.00 |
| 19 | 0.00 |
| 20 | 0.53 |